# KAgPt3

KAgPt3 after structural relaxation (PBE, Alexandria via LeMat-Bulk).

Computed properties:
Energy of formation from the pure elements ... 0.974 eV/atom
Energy relative to the lowest polymorph listed for this composition ... 0 meV per atom
SG ... No. 221

Unit cell a=5.025 b=5.025 c=5.025 alpha=90.00 beta=90.00 gamma=90.00
Fractional positions:
1 K 0.000 0.000 0.000
2 Ag 0.500 0.500 0.500
3 Pt 0.000 0.500 0.500
4 Pt 0.500 0.000 0.500
5 Pt 0.500 0.500 0.000

***

# YOsOF2

YOsOF2 after structural relaxation (PBE, Alexandria via LeMat-Bulk).

Computed properties:
Energy relative to the lowest polymorph listed for this composition ... 0 meV per atom
SG ... No. 123

Unit cell a=4.393 b=4.393 c=4.490 alpha=90.00 beta=90.00 gamma=90.00
Fractional positions:
1 Y 0.000 0.000 0.000
2 Os 0.500 0.500 0.500
3 O 0.000 0.000 0.500
4 F 0.000 0.500 0.000
5 F 0.500 0.000 0.000

***

# KBaLa2

KBaLa2 after structural relaxation (PBE, Alexandria via LeMat-Bulk).

Computed properties:
Energy of formation from the pure elements ... 0.312 eV/atom
Energy relative to the lowest polymorph listed for this composition ... 157 meV per atom
SG ... No. 65

Unit cell a=3.811 b=3.811 c=14.138 alpha=90.00 beta=90.00 gamma=114.93
Fractional positions:
1 K 0.000 0.000 0.000
2 Ba 0.000 0.000 0.500
3 La 0.500 0.500 0.260
4 La 0.500 0.500 0.740

***

# LaPr3Ho2S6

LaPr3Ho2S6 after structural relaxation (PBE, Alexandria via LeMat-Bulk).

Computed properties:
SG ... No. 12

Unit cell a=6.986 b=6.986 c=7.036 alpha=99.55 beta=99.55 gamma=120.11
Fractional positions:
1 La 0.000 0.000 0.000
2 Pr 0.162 0.838 0.500
3 Pr 0.500 0.500 0.500
4 Pr 0.838 0.162 0.500
5 Ho 0.333 0.667 0.000
6 Ho 0.667 0.333 0.000
7 S 0.079 0.425 0.238
8 S 0.269 0.269 0.767
9 S 0.425 0.079 0.238
10 S 0.575 0.921 0.762
11 S 0.731 0.731 0.233
12 S 0.921 0.575 0.762

***

# Be2SiTe

Be2SiTe after structural relaxation (PBE, Alexandria via LeMat-Bulk).

Computed properties:
Energy relative to the lowest polymorph listed for this composition ... 541 meV per atom
SG ... No. 123

Unit cell a=4.209 b=4.209 c=3.484 alpha=90.00 beta=90.00 gamma=90.00
Fractional positions:
1 Be 0.000 0.500 0.000
2 Be 0.500 0.000 0.000
3 Si 0.000 0.000 0.500
4 Te 0.500 0.500 0.500

***

# Cd2Ga2Pd

Cd2Ga2Pd after structural relaxation (PBE, Alexandria via LeMat-Bulk).

Computed properties:
Energy of formation from the pure elements ... 0.196 eV/atom
Energy relative to the lowest polymorph listed for this composition ... 306 meV per atom
SG ... No. 139

Unit cell a=7.123 b=7.123 c=7.123 alpha=147.70 beta=147.70 gamma=46.33
Fractional positions:
1 Cd 0.250 0.750 0.500
2 Cd 0.750 0.250 0.500
3 Ga 0.092 0.092 0.000
4 Ga 0.908 0.908 0.000
5 Pd 0.500 0.500 0.000

***

# La2Ge2Au3

La2Ge2Au3 after structural relaxation (PBE, Alexandria via LeMat-Bulk).

Computed properties:
Energy of formation from the pure elements ... -0.690 eV/atom
SG ... No. 12

Unit cell a=5.847 b=5.847 c=7.338 alpha=110.67 beta=110.67 gamma=43.32
Fractional positions:
1 La 0.143 0.143 0.263
2 La 0.857 0.857 0.737
3 Ge 0.143 0.143 0.704
4 Ge 0.857 0.857 0.296
5 Au 0.391 0.391 0.068
6 Au 0.500 0.500 0.500
7 Au 0.609 0.609 0.932

***

# PrDy3ErTm

PrDy3ErTm after structural relaxation (PBE, Alexandria via LeMat-Bulk).

Computed properties:
Energy of formation from the pure elements ... 0.205 eV/atom
SG ... No. 12

Unit cell a=11.466 b=11.466 c=6.779 alpha=97.99 beta=97.99 gamma=27.15
Fractional positions:
1 Pr 0.130 0.130 0.478
2 Pr 0.870 0.870 0.522
3 Dy 0.024 0.024 0.777
4 Dy 0.274 0.274 0.687
5 Dy 0.328 0.328 0.222
6 Dy 0.672 0.672 0.778
7 Dy 0.726 0.726 0.313
8 Dy 0.976 0.976 0.223
9 Er 0.167 0.167 0.031
10 Er 0.833 0.833 0.969
11 Tm 0.427 0.427 0.853
12 Tm 0.573 0.573 0.147

***

# Sr3In3Au

Sr3In3Au after structural relaxation (PBE, Alexandria via LeMat-Bulk).

Computed properties:
Energy of formation from the pure elements ... -0.500 eV/atom
SG ... No. 12

Unit cell a=6.571 b=6.571 c=17.089 alpha=105.80 beta=105.80 gamma=40.03
Fractional positions:
1 Sr 0.013 0.013 0.385
2 Sr 0.116 0.116 0.923
3 Sr 0.237 0.237 0.236
4 Sr 0.763 0.763 0.764
5 Sr 0.884 0.884 0.077
6 Sr 0.987 0.987 0.615
7 In 0.331 0.331 0.462
8 In 0.396 0.396 0.922
9 In 0.482 0.482 0.770
10 In 0.518 0.518 0.230
11 In 0.604 0.604 0.078
12 In 0.669 0.669 0.538
13 Au 0.285 0.285 0.625
14 Au 0.715 0.715 0.375

***

# Tb4MgHg3

Tb4MgHg3 after structural relaxation (PBE, Alexandria via LeMat-Bulk).

Computed properties:
Energy of formation from the pure elements ... -0.379 eV/atom
SG ... No. 123

Unit cell a=3.766 b=3.766 c=14.855 alpha=90.00 beta=90.00 gamma=90.00
Fractional positions:
1 Tb 0.000 0.000 0.124
2 Tb 0.000 0.000 0.372
3 Tb 0.000 0.000 0.628
4 Tb 0.000 0.000 0.876
5 Mg 0.500 0.500 0.500
6 Hg 0.500 0.500 0.000
7 Hg 0.500 0.500 0.253
8 Hg 0.500 0.500 0.747

***

# Ba2BiSb3Pd4

Ba2BiSb3Pd4 after structural relaxation (PBE, Alexandria via LeMat-Bulk).

Computed properties:
SG ... No. 115

Unit cell a=4.824 b=4.824 c=10.964 alpha=90.00 beta=90.00 gamma=90.00
Fractional positions:
1 Ba 0.000 0.500 0.240
2 Ba 0.500 0.000 0.760
3 Bi 0.000 0.000 0.500
4 Sb 0.000 0.500 0.879
5 Sb 0.500 0.000 0.121
6 Sb 0.500 0.500 0.500
7 Pd 0.000 0.000 0.000
8 Pd 0.000 0.500 0.631
9 Pd 0.500 0.000 0.369
10 Pd 0.500 0.500 0.000

***

For each record above, in turn, the calculated total energy values are -3.4405; -6.5261; -2.9069; -6.4632; -3.2135; -2.4195; -4.8214; -4.3986; -2.8623; -3.0067; -4.8500 eV per atom.